# 1
The following is a DFT calculation (PBE-GGA) of Rb6H5 after structural relaxation.

The space group is C2/m (No. 12) and the conventional cell measures 7.4991, 12.9248 and 7.4764 Å, with angles of 90.00, 109.66 and 90.00 degrees. The inequivalent atoms are Rb at (0.2391, 0.0000, 0.2633), Rb at (0.2415, 0.1736, 0.7471), H at (0.0000, 0.0000, 0.5000), H at (0.0000, 0.1666, 0.0000) and H at (0.0000, 0.3321, 0.5000).

The calculation puts the total magnetic moment at 0.090 μB per atom. Its density of states at the Fermi level is 0.83 states/eV/cell. The value obtained for the total energy is -47.5 eV/cell. The volume comes out at 682.42 Å³ per cell.



# 2
The following is a DFT calculation (PBE-GGA) of Rb2H3 after structural relaxation.

The space group is I4_1md (No. 109) and the conventional cell measures 5.8686, 5.8686 and 16.1229 Å, with angles of 90.00, 90.00 and 90.00 degrees. The inequivalent atoms are Rb at (0.0000, 0.0000, 0.0000), Rb at (0.0000, 0.0000, 0.4206), H at (0.0000, 0.0000, 0.1839) and H at (0.0000, 0.0679, 0.8210).

The calculation puts the total magnetic moment at 0.000 μB per atom. Its density of states at the Fermi level is 6.40 states/eV/cell. The value obtained for the total energy is -47.5 eV/cell. The volume comes out at 555.28 Å³ per cell.



# 3
The following is a DFT calculation (PBE-GGA) of Rb4H after structural relaxation.

The space group is Pm-3m (No. 221) and the conventional cell measures 6.6980, 6.6980 and 6.6980 Å, with angles of 90.00, 90.00 and 90.00 degrees. The inequivalent atoms are Rb at (0.0000, 0.0000, 0.0000), Rb at (0.0000, 0.5000, 0.5000) and H at (0.5000, 0.5000, 0.5000).

The calculation puts the total magnetic moment at 0.056 μB per atom. Its density of states at the Fermi level is 5.08 states/eV/cell. The value obtained for the total energy is -7.0 eV/cell. The volume comes out at 300.49 Å³ per cell. For the energy above the lowest structure with this stoichiometry, the calculation gives 0.0534 eV per atom.



# 4
The following is a DFT calculation (PBE-GGA) of Rb4H after structural relaxation.

The space group is C2/c (No. 15) and the conventional cell measures 15.2325, 7.3175 and 14.1847 Å, with angles of 90.00, 117.48 and 90.00 degrees. The inequivalent atoms are Rb at (0.1165, 0.0145, 0.4215), Rb at (0.1172, 0.4559, 0.1934) and H at (0.0000, 0.2365, 0.2500).

The calculation puts the total magnetic moment at 0.000 μB per atom. Its density of states at the Fermi level is 13.84 states/eV/cell. The value obtained for the total energy is -28.9 eV/cell. The volume comes out at 1402.69 Å³ per cell. For the energy above the lowest structure with this stoichiometry, the calculation gives 0.0000 eV per atom.



# 5
The following is a DFT calculation (PBE-GGA) of Rb8H after structural relaxation.

The space group is P-3m1 (No. 164) and the conventional cell measures 9.7915, 9.7915 and 8.0386 Å, with angles of 90.00, 90.00 and 120.00 degrees. The inequivalent atoms are Rb at (0.1548, 0.3095, 0.2728), Rb at (0.3333, 0.6667, 0.7821) and H at (0.0000, 0.0000, 0.5000).

The calculation puts the total magnetic moment at 0.000 μB per atom. Its density of states at the Fermi level is 6.95 states/eV/cell. The value obtained for the total energy is -11.0 eV/cell. The volume comes out at 667.44 Å³ per cell.



# 6
The following is a DFT calculation (PBE-GGA) of RbRe2H after structural relaxation.

The space group is Fd-3m (No. 227, origin choice 2) and the conventional cell measures 8.2238, 8.2238 and 8.2238 Å, with angles of 90.00, 90.00 and 90.00 degrees. The inequivalent atoms are Rb at (0.1250, 0.1250, 0.1250), Re at (0.0000, 0.0000, 0.5000) and H at (0.1250, 0.1250, 0.6250).

The calculation puts the total magnetic moment at 0.000 μB per atom. Its density of states at the Fermi level is 34.73 states/eV/cell. The value obtained for the total energy is -188.2 eV/cell. The volume comes out at 556.19 Å³ per cell. For the energy above the lowest structure with this stoichiometry, the calculation gives 0.0000 eV per atom.



# 7
The following is a DFT calculation (PBE-GGA) of RbReH after structural relaxation.

The space group is P1 (No. 1) and the conventional cell measures 3.9435, 4.3042 and 10.8671 Å, with angles of 95.73, 94.52 and 115.71 degrees. The inequivalent atoms are Rb at (0.0000, 0.0000, 0.0000), Rb at (0.2187, 0.1871, 0.5554), Re at (0.4372, 0.7715, 0.2660), Re at (0.7825, 0.4368, 0.3012), H at (0.5808, 0.0928, 0.1573) and H at (0.8571, 0.5199, 0.4606).

The calculation puts the total magnetic moment at 0.000 μB per atom. Its density of states at the Fermi level is 3.53 states/eV/cell. The value obtained for the total energy is -31.1 eV/cell. The volume comes out at 163.82 Å³ per cell. For the energy above the lowest structure with this stoichiometry, the calculation gives 0.0936 eV per atom.



# 8
The following is a DFT calculation (PBE-GGA) of RbReH after structural relaxation.

The space group is P1 (No. 1) and the conventional cell measures 3.1124, 3.2980 and 11.9451 Å, with angles of 92.22, 93.13 and 90.00 degrees. The inequivalent atoms are Rb at (0.0000, 0.0000, 0.0000), Rb at (0.3741, 0.4141, 0.3895), Re at (0.4487, 0.4638, 0.7432), Re at (0.9262, 0.9489, 0.6364), H at (0.8953, 0.9282, 0.4906) and H at (0.9684, 0.4770, 0.8363).

The calculation puts the total magnetic moment at 0.000 μB per atom. Its density of states at the Fermi level is 2.74 states/eV/cell. The value obtained for the total energy is -31.1 eV/cell. The volume comes out at 122.34 Å³ per cell. For the energy above the lowest structure with this stoichiometry, the calculation gives 0.0943 eV per atom.



# 9
The following is a DFT calculation (PBE-GGA) of RbReH after structural relaxation.

The space group is P-1 (No. 2) and the conventional cell measures 4.0231, 4.0292 and 10.8847 Å, with angles of 81.13, 83.68 and 66.79 degrees. The inequivalent atoms are Rb at (0.0650, 0.1216, 0.2197), Re at (0.3237, 0.3188, 0.5240) and H at (0.3094, 0.2729, 0.6819).

The calculation puts the total magnetic moment at 0.000 μB per atom. Its density of states at the Fermi level is 2.35 states/eV/cell. The value obtained for the total energy is -31.5 eV/cell. The volume comes out at 159.98 Å³ per cell. For the energy above the lowest structure with this stoichiometry, the calculation gives 0.0262 eV per atom.



# 10
The following is a DFT calculation (PBE-GGA) of RbReH3 after structural relaxation.

The space group is Pm-3m (No. 221) and the conventional cell measures 3.8838, 3.8838 and 3.8838 Å, with angles of 90.00, 90.00 and 90.00 degrees. The inequivalent atoms are Rb at (0.0000, 0.0000, 0.0000), Re at (0.5000, 0.5000, 0.5000) and H at (0.0000, 0.5000, 0.5000).

The calculation puts the total magnetic moment at 0.200 μB per atom. Its density of states at the Fermi level is 3.31 states/eV/cell. The value obtained for the total energy is -20.5 eV/cell. The volume comes out at 58.58 Å³ per cell. For the energy above the lowest structure with this stoichiometry, the calculation gives 0.0000 eV per atom.



# 11
The following is a DFT calculation (PBE-GGA) of Rb3ReH8 after structural relaxation.

The space group is I-42m (No. 121) and the conventional cell measures 6.5358, 6.5358 and 8.2434 Å, with angles of 90.00, 90.00 and 90.00 degrees. The inequivalent atoms are Rb at (0.0000, 0.0000, 0.0000), Rb at (0.0000, 0.5000, 0.2500), Re at (0.0000, 0.0000, 0.5000), H at (0.1060, 0.1060, 0.6702) and H at (0.1836, 0.1836, 0.4470).

The calculation puts the total magnetic moment at 0.001 μB per atom. Its density of states at the Fermi level is 0.00 states/eV/cell. The value obtained for the total energy is -90.2 eV/cell. The volume comes out at 352.13 Å³ per cell.



# 12
The following is a DFT calculation (PBE-GGA) of Rb2ReH after structural relaxation.

The space group is I-42d (No. 122) and the conventional cell measures 12.4755, 12.4755 and 3.5444 Å, with angles of 90.00, 90.00 and 90.00 degrees. The inequivalent atoms are Rb at (0.0605, 0.2500, 0.1250), Re at (0.0000, 0.0000, 0.5000) and H at (0.0000, 0.0000, 0.0000).

The calculation puts the total magnetic moment at 0.530 μB per atom. Its density of states at the Fermi level is 7.31 states/eV/cell. The value obtained for the total energy is -52.3 eV/cell. The volume comes out at 551.64 Å³ per cell. For the energy above the lowest structure with this stoichiometry, the calculation gives 0.0000 eV per atom.